# 1
TbDy6Sc8: relaxed, GGA-PBE.

```
data_TbDy6Sc8
_space_group_name_H-M_alt 'P 1'
_space_group_IT_number 1
_cell_length_a 8.2610
_cell_length_b 8.2610
_cell_length_c 8.2610
_cell_angle_alpha 62.49
_cell_angle_beta 62.49
_cell_angle_gamma 62.49
loop_
_space_group_symop_operation_xyz
'x,y,z'
loop_
_atom_site_label
_atom_site_type_symbol
_atom_site_fract_x
_atom_site_fract_y
_atom_site_fract_z
Tb1 Tb 0.0000 0.0000 0.0000
Dy1 Dy 0.1034 0.5386 0.2253
Dy2 Dy 0.2253 0.1034 0.5386
Dy3 Dy 0.4614 0.7747 0.8966
Dy4 Dy 0.5386 0.2253 0.1034
Dy5 Dy 0.7747 0.8966 0.4614
Dy6 Dy 0.8966 0.4614 0.7747
Sc1 Sc 0.1113 0.7145 0.7471
Sc2 Sc 0.2529 0.8887 0.2855
Sc3 Sc 0.2855 0.2529 0.8887
Sc4 Sc 0.4255 0.4255 0.4255
Sc5 Sc 0.5745 0.5745 0.5745
Sc6 Sc 0.7145 0.7471 0.1113
Sc7 Sc 0.7471 0.1113 0.7145
Sc8 Sc 0.8887 0.2855 0.2529
```

calculated total energy = -5.38 eV/atom
ΔE_f = 0.1437 eV/atom
Fermi-level density of states = 1.652 states/eV/atom
total moment = 0.0 μB/cell
crystal system = trigonal

***

# 2
Tb2Dy7Sc4: relaxed, GGA-PBE.

```
data_Tb2Dy7Sc4
_space_group_name_H-M_alt 'P 1'
_space_group_IT_number 1
_cell_length_a 5.9795
_cell_length_b 5.9795
_cell_length_c 12.4923
_cell_angle_alpha 90.00
_cell_angle_beta 90.00
_cell_angle_gamma 120.00
loop_
_space_group_symop_operation_xyz
'x,y,z'
loop_
_atom_site_label
_atom_site_type_symbol
_atom_site_fract_x
_atom_site_fract_y
_atom_site_fract_z
Tb1 Tb 0.3333 0.6667 0.0000
Tb2 Tb 0.6667 0.3333 0.0000
Dy1 Dy 0.0000 0.0000 0.0000
Dy2 Dy 0.0000 0.3588 0.2302
Dy3 Dy 0.0000 0.6412 0.7698
Dy4 Dy 0.3588 0.0000 0.2302
Dy5 Dy 0.3588 0.3588 0.7698
Dy6 Dy 0.6412 0.0000 0.7698
Dy7 Dy 0.6412 0.6412 0.2302
Sc1 Sc 0.0000 0.0000 0.4001
Sc2 Sc 0.0000 0.0000 0.5999
Sc3 Sc 0.3333 0.6667 0.5000
Sc4 Sc 0.6667 0.3333 0.5000
```

calculated total energy = -4.92 eV/atom
ΔE_f = 0.2170 eV/atom
Fermi-level density of states = 1.413 states/eV/atom
total moment = 0.0 μB/cell
crystal system = trigonal

***

# 3
Tb2Dy2Sc3: relaxed, GGA-PBE.

```
data_Tb2Dy2Sc3
_space_group_name_H-M_alt 'P 1'
_space_group_IT_number 1
_cell_length_a 8.0667
_cell_length_b 8.0667
_cell_length_c 8.0667
_cell_angle_alpha 109.47
_cell_angle_beta 109.47
_cell_angle_gamma 109.47
loop_
_space_group_symop_operation_xyz
'x,y,z'
loop_
_atom_site_label
_atom_site_type_symbol
_atom_site_fract_x
_atom_site_fract_y
_atom_site_fract_z
Tb1 Tb 0.0000 0.8242 0.5000
Tb2 Tb 0.5000 0.0000 0.8242
Tb3 Tb 0.6758 0.6758 0.6758
Tb4 Tb 0.8242 0.5000 0.0000
Dy1 Dy 0.0000 0.4265 0.5000
Dy2 Dy 0.0735 0.0735 0.0735
Dy3 Dy 0.4265 0.5000 0.0000
Dy4 Dy 0.5000 0.0000 0.4265
Sc1 Sc 0.2035 0.7500 0.9535
Sc2 Sc 0.2500 0.5465 0.2965
Sc3 Sc 0.2965 0.2500 0.5465
Sc4 Sc 0.5465 0.2965 0.2500
Sc5 Sc 0.7500 0.9535 0.2035
Sc6 Sc 0.9535 0.2035 0.7500
```

calculated total energy = -5.11 eV/atom
ΔE_f = 0.2390 eV/atom
Fermi-level density of states = 1.429 states/eV/atom
total moment = 0.0 μB/cell
crystal system = cubic
energy above the lowest structure with this stoichiometry = 0.1851 eV/atom